No. 1
{
  "formula": "NdDy4Hg2",
  "functional": "PBE-GGA",
  "state": "relaxed",
  "cell": [[8.8434, -1.7790, 0.0000], [8.8434, 1.7790, 0.0000], [-6.9928, 0.0000, 13.6879]],
  "species": ["Nd", "Nd", "Dy", "Dy", "Dy", "Dy", "Dy", "Dy", "Dy", "Dy", "Hg", "Hg", "Hg", "Hg"],
  "fractional_positions": [[0.0408, 0.0408, 0.1442], [0.9592, 0.9592, 0.8558], [0.0314, 0.0314, 0.6529], [0.1758, 0.1758, 0.0237], [0.2669, 0.2669, 0.2761], [0.3452, 0.3452, 0.6191], [0.6548, 0.6548, 0.3809], [0.7331, 0.7331, 0.7239], [0.8242, 0.8242, 0.9763], [0.9686, 0.9686, 0.3471], [0.1417, 0.1417, 0.5411], [0.3797, 0.3797, 0.1612], [0.6203, 0.6203, 0.8388], [0.8583, 0.8583, 0.4589]],
  "relative_energy_kj_per_mol_atoms": 0.00,
  "dos_ef_per_ev_cell": 19.13,
  "space_group": "C2/m, No. 12",
  "ef_ev_per_atom": -0.091
}



No. 2
{
  "formula": "Nd4Dy3Hg",
  "functional": "PBE-GGA",
  "state": "relaxed",
  "cell": [[3.6640, 0.0000, 0.0000], [0.0000, 3.6640, 0.0000], [0.0000, 0.0000, 19.2125]],
  "species": ["Nd", "Nd", "Nd", "Nd", "Dy", "Dy", "Dy", "Hg"],
  "fractional_positions": [[0.0000, 0.0000, 0.1078], [0.0000, 0.0000, 0.3701], [0.0000, 0.0000, 0.6299], [0.0000, 0.0000, 0.8922], [0.5000, 0.5000, 0.2396], [0.5000, 0.5000, 0.5000], [0.5000, 0.5000, 0.7604], [0.5000, 0.5000, 0.0000]],
  "dos_ef_per_ev_cell": 11.01,
  "space_group": "P4/mmm, No. 123",
  "ef_ev_per_atom": -0.098
}



No. 3
{
  "formula": "NdDy4Hg5",
  "functional": "PBE-GGA",
  "state": "relaxed",
  "cell": [[3.7392, 0.0000, 0.0000], [0.0000, 3.7392, 0.0000], [0.0000, 0.0000, 18.7861]],
  "species": ["Nd", "Dy", "Dy", "Dy", "Dy", "Hg", "Hg", "Hg", "Hg", "Hg"],
  "fractional_positions": [[0.0000, 0.0000, 0.0000], [0.0000, 0.0000, 0.2042], [0.0000, 0.0000, 0.4017], [0.0000, 0.0000, 0.5983], [0.0000, 0.0000, 0.7958], [0.5000, 0.5000, 0.1093], [0.5000, 0.5000, 0.3029], [0.5000, 0.5000, 0.5000], [0.5000, 0.5000, 0.6971], [0.5000, 0.5000, 0.8907]],
  "dos_ef_per_ev_cell": 10.32,
  "space_group": "P4/mmm, No. 123",
  "ef_ev_per_atom": -0.479
}



No. 4
{
  "formula": "NdDy2Hg2",
  "functional": "PBE-GGA",
  "state": "relaxed",
  "cell": [[5.2322, 0.0000, 0.0000], [-2.6161, 4.5312, 0.0000], [0.0000, 0.0000, 6.3766]],
  "species": ["Nd", "Dy", "Dy", "Hg", "Hg"],
  "fractional_positions": [[0.0000, 0.0000, 0.0000], [0.3333, 0.6667, 0.6586], [0.6667, 0.3333, 0.3414], [0.3333, 0.6667, 0.1801], [0.6667, 0.3333, 0.8199]],
  "relative_energy_kj_per_mol_atoms": 14.79,
  "dos_ef_per_ev_cell": 7.01,
  "space_group": "P-3m1, No. 164",
  "ef_ev_per_atom": -0.228
}



Question: Number 3 is which compound?
Answer: NdDy4Hg5